1.
A relaxed structure of Sm2MgGePd6, computed with PBE.

The structure in CIF format:
```
data_Sm2MgGePd6
_cell_length_a 6.4383
_cell_length_b 6.4383
_cell_length_c 7.7716
_cell_angle_alpha 125.44
_cell_angle_beta 125.44
_cell_angle_gamma 51.19
_space_group_name_H-M_alt 'P 1'
_space_group_IT_number 1
_space_group_name_Hall 'P 1'
loop_
_atom_site_label
_atom_site_type_symbol
_atom_site_fract_x
_atom_site_fract_y
_atom_site_fract_z
Sm1 Sm 0.0021 0.0021 0.2543
Sm2 Sm 0.9979 0.9979 0.7457
Mg1 Mg 0.5000 0.5000 0.0000
Ge1 Ge 0.5000 0.5000 0.5000
Pd1 Pd 0.0092 0.5059 0.2005
Pd2 Pd 0.3217 0.3217 0.5735
Pd3 Pd 0.4941 0.9908 0.7995
Pd4 Pd 0.5059 0.0092 0.2005
Pd5 Pd 0.6783 0.6783 0.4265
Pd6 Pd 0.9908 0.4941 0.7995
```

- ΔH_f (0 K) (meV/atom) = -635
- Fermi-level density of states (states/eV/cell) = 4.51
- E (eV/f.u.) = -53.15

2.
A relaxed structure of Mg5Sn2GePd2, computed with PBE.

The structure in CIF format:
```
data_Mg5Sn2GePd2
_cell_length_a 10.5620
_cell_length_b 10.5620
_cell_length_c 3.6541
_cell_angle_alpha 90.00
_cell_angle_beta 90.00
_cell_angle_gamma 90.00
_space_group_name_H-M_alt 'P 1'
_space_group_IT_number 1
_space_group_name_Hall 'P 1'
loop_
_atom_site_label
_atom_site_type_symbol
_atom_site_fract_x
_atom_site_fract_y
_atom_site_fract_z
Mg1 Mg 0.0000 0.5000 0.0000
Mg2 Mg 0.0633 0.1994 0.0000
Mg3 Mg 0.1994 0.9367 0.0000
Mg4 Mg 0.3006 0.4367 0.0000
Mg5 Mg 0.4367 0.6994 0.0000
Mg6 Mg 0.5000 0.0000 0.0000
Mg7 Mg 0.5633 0.3006 0.0000
Mg8 Mg 0.6994 0.5633 0.0000
Mg9 Mg 0.8006 0.0633 0.0000
Mg10 Mg 0.9367 0.8006 0.0000
Sn1 Sn 0.1718 0.6718 0.5000
Sn2 Sn 0.3282 0.1718 0.5000
Sn3 Sn 0.6718 0.8282 0.5000
Sn4 Sn 0.8282 0.3282 0.5000
Ge1 Ge 0.0000 0.0000 0.5000
Ge2 Ge 0.5000 0.5000 0.5000
Pd1 Pd 0.1295 0.3705 0.5000
Pd2 Pd 0.3705 0.8705 0.5000
Pd3 Pd 0.6295 0.1295 0.5000
Pd4 Pd 0.8705 0.6295 0.5000
```

- ΔH_f (0 K) (meV/atom) = -327
- Fermi-level density of states (states/eV/cell) = 6.72
- E (eV/f.u.) = -34.25

3.
A relaxed structure of SrMgGePd3, computed with PBE.

The structure in CIF format:
```
data_SrMgGePd3
_cell_length_a 8.5189
_cell_length_b 8.5189
_cell_length_c 6.0028
_cell_angle_alpha 90.00
_cell_angle_beta 90.00
_cell_angle_gamma 140.06
_space_group_name_H-M_alt 'P 1'
_space_group_IT_number 1
_space_group_name_Hall 'P 1'
loop_
_atom_site_label
_atom_site_type_symbol
_atom_site_fract_x
_atom_site_fract_y
_atom_site_fract_z
Sr1 Sr 0.2176 0.7824 0.7500
Sr2 Sr 0.7824 0.2176 0.2500
Mg1 Mg 0.1035 0.8965 0.2500
Mg2 Mg 0.8965 0.1035 0.7500
Ge1 Ge 0.4190 0.5810 0.2500
Ge2 Ge 0.5810 0.4190 0.7500
Pd1 Pd 0.2449 0.2449 0.0000
Pd2 Pd 0.2449 0.2449 0.5000
Pd3 Pd 0.2666 0.7334 0.2500
Pd4 Pd 0.7334 0.2666 0.7500
Pd5 Pd 0.7551 0.7551 0.0000
Pd6 Pd 0.7551 0.7551 0.5000
```

- ΔH_f (0 K) (meV/atom) = -455
- Fermi-level density of states (states/eV/cell) = 3.78
- E (eV/f.u.) = -26.20

> The lowest E belongs to which entry?

Sm2MgGePd6

> Among the records above, which one has the highest E?

SrMgGePd3

> Look up the Fermi-level density of states of the second one.

6.72 states/eV/cell

> Number 2 is which compound?

Mg5Sn2GePd2